Compound: BaRh2Se
Source: Alexandria
Functional: PBE
Structure: optimized geometry

Unit cell a=8.244 b=4.205 c=5.826 alpha=90.00 beta=109.70 gamma=90.00
Space group Cm (No. 8)
Symmetry-distinct sites (fractional):
1 Ba 0.000 0.000 0.000 (multiplicity 2)
2 Rh 0.027 0.500 0.558 (multiplicity 2)
3 Rh 0.217 0.000 0.589 (multiplicity 2)
4 Se 0.287 0.500 0.404 (multiplicity 2)

Properties
As for the total energy: -44.0 eV/cell. As for the density of states at the Fermi level: 7.394 states/eV per cell. For the volume, the calculation gives 23.77 Å³/atom. The total magnetization comes out at 0.00 μB per atom.